i.
The following is a PBE calculation of a geometry-optimized SrBi2As2 structure, from Alexandria via LeMat-Bulk.

Geometry as CIF:
```
data_SrBi2As2
_chemical_formula_sum 'Sr2 Bi4 As4'
_cell_length_a 5.649
_cell_length_b 5.649
_cell_length_c 10.050
_cell_angle_alpha 90.00
_cell_angle_beta 90.00
_cell_angle_gamma 90.00
_symmetry_space_group_name_H-M 'P 1'
_symmetry_Int_Tables_number 1
loop_
_symmetry_equiv_pos_as_xyz
'x,y,z'
loop_
_atom_site_label
_atom_site_type_symbol
_atom_site_fract_x
_atom_site_fract_y
_atom_site_fract_z
_atom_site_occupancy
Sr1 Sr 0.000 0.000 0.000 1
Sr2 Sr 0.500 0.500 0.500 1
Bi1 Bi 0.000 0.000 0.341 1
Bi2 Bi 0.000 0.000 0.659 1
Bi3 Bi 0.500 0.500 0.159 1
Bi4 Bi 0.500 0.500 0.841 1
As1 As 0.000 0.500 0.250 1
As2 As 0.000 0.500 0.750 1
As3 As 0.500 0.000 0.250 1
As4 As 0.500 0.000 0.750 1
```

ii.
The following is a PBE calculation of a geometry-optimized SrBi2As2 structure, from Alexandria via LeMat-Bulk.

Geometry as CIF:
```
data_SrBi2As2
_chemical_formula_sum 'Sr2 Bi4 As4'
_cell_length_a 4.560
_cell_length_b 4.560
_cell_length_c 14.556
_cell_angle_alpha 90.00
_cell_angle_beta 90.00
_cell_angle_gamma 90.00
_symmetry_space_group_name_H-M 'P 1'
_symmetry_Int_Tables_number 1
loop_
_symmetry_equiv_pos_as_xyz
'x,y,z'
loop_
_atom_site_label
_atom_site_type_symbol
_atom_site_fract_x
_atom_site_fract_y
_atom_site_fract_z
_atom_site_occupancy
Sr1 Sr 0.000 0.000 0.000 1
Sr2 Sr 0.500 0.500 0.500 1
Bi1 Bi 0.000 0.500 0.250 1
Bi2 Bi 0.000 0.500 0.750 1
Bi3 Bi 0.500 0.000 0.250 1
Bi4 Bi 0.500 0.000 0.750 1
As1 As 0.000 0.000 0.415 1
As2 As 0.000 0.000 0.585 1
As3 As 0.500 0.500 0.085 1
As4 As 0.500 0.500 0.915 1
```

In order of decreasing stability: ii, i.